(1)
A geometry-optimized Y2CrRhN structure. Source: Alexandria via LeMat-Bulk, functional PBE.

Computed properties:
Symmetry: P4/mmm, No. 123
Crystal system: tetragonal
Energy relative to the elements, uncorrected: -0.778 eV per atom
Fermi-level density of states: 3.54 states/eV per cell

Cell and atoms, written as POSCAR:
```
Y2CrRhN
1.0
4.8699 0.0000 0.0000
0.0000 4.8699 0.0000
0.0000 0.0000 3.7285
Y Cr Rh N
2 1 1 1
direct
0.0000 0.5000 0.0000
0.5000 0.0000 0.0000
0.0000 0.0000 0.5000
0.5000 0.5000 0.5000
0.0000 0.0000 0.0000
```

(2)
A geometry-optimized ZnCrRh2N structure. Source: Alexandria via LeMat-Bulk, functional PBE.

Computed properties:
Symmetry: P4/mmm, No. 123
Crystal system: tetragonal
Energy relative to the elements, uncorrected: -0.129 eV per atom
Fermi-level density of states: 3.65 states/eV per cell

Cell and atoms, written as POSCAR:
```
ZnCrRh2N
1.0
4.1246 0.0000 0.0000
0.0000 4.1246 0.0000
0.0000 0.0000 3.7994
Zn Cr Rh N
1 1 2 1
direct
0.0000 0.0000 0.0000
0.5000 0.5000 0.0000
0.0000 0.5000 0.5000
0.5000 0.0000 0.5000
0.5000 0.5000 0.5000
```

(3)
A geometry-optimized ZnCrRh2N structure. Source: Alexandria via LeMat-Bulk, functional PBE.

Computed properties:
Symmetry: P4/mmm, No. 123
Crystal system: tetragonal
Energy relative to the elements, uncorrected: 0.318 eV per atom
Fermi-level density of states: 4.17 states/eV per cell

Cell and atoms, written as POSCAR:
```
ZnCrRh2N
1.0
4.0964 0.0000 0.0000
0.0000 4.0964 0.0000
0.0000 0.0000 4.0142
Zn Cr Rh N
1 1 2 1
direct
0.0000 0.0000 0.0000
0.5000 0.5000 0.0000
0.0000 0.5000 0.5000
0.5000 0.0000 0.5000
0.0000 0.0000 0.5000
```